Record 1
A plane-wave DFT calculation with PBE-GGA was carried out for crystalline NdAl3Au3 at its relaxed geometry.

a b c (Å): 6.944 6.944 6.944
angles (deg): 90.00 90.00 90.00
Fractional positions:
Au: 0.000 0.750 0.500
Au: 0.000 0.250 0.500
Au: 0.500 0.000 0.750
Au: 0.500 0.000 0.250
Au: 0.750 0.500 0.000
Au: 0.250 0.500 0.000
Nd: 0.000 0.000 0.000
Nd: 0.500 0.500 0.500
Al: 0.000 0.500 0.250
Al: 0.000 0.500 0.750
Al: 0.500 0.250 0.000
Al: 0.250 0.000 0.500
Al: 0.500 0.750 0.000
Al: 0.750 0.000 0.500

excess energy over the best structure of this formula in the dataset: 1.744 eV/f.u.

---

Record 2
A plane-wave DFT calculation with PBE-GGA was carried out for crystalline BeAl2Tc at its relaxed geometry.

a b c (Å): 4.366 2.695 4.606
angles (deg): 90.01 90.00 90.00
Fractional positions:
Al: 0.500 0.125 0.298
Al: 0.000 0.125 0.950
Be: 0.000 0.625 0.471
Tc: 0.500 0.625 0.781

---

| no. | DFT formation energy (eV per formula unit) | energy (eV/atom) |
| --- | --- | --- |
| 1 | -1.90 | -3.9606 |
| 2 | -0.64 | -5.5538 |